The following is a PBE calculation of an optimized crystal structure of AlCu2HAu, from Alexandria.

Cell: 3.783 3.783 4.123 Å, 90.00 90.00 90.00°
Sites, in units of the cell vectors:
Al: 0.000 0.000 0.000
Cu: 0.000 0.500 0.500
Cu: 0.500 0.000 0.500
H: 0.000 0.000 0.500
Au: 0.500 0.500 0.000

Its space-group type is P4/mmm, No. 123. For the calculated total energy, the calculation gives -3.764 eV per atom. As for the crystal system: tetragonal.